Entry 1:
Below is a relaxed Si2PtW crystal, with properties calculated at the PBE-GGA level.

- DFT total energy (eV per cell) = -29.78
- crystal system = orthorhombic
- formation energy (no corrections) (meV per atom) = 14
- mass density (g/cm3) = 12.18

a = 2.865 Å, b = 2.865 Å, c = 7.635 Å
α = 90.00°, β = 90.00°, γ = 108.84°
Atoms (fractional coordinates):
Si1 0.000 0.000 0.249
Si2 0.000 0.000 0.751
Pt1 0.500 0.500 0.500
W1 0.500 0.500 0.000


Entry 2:
Below is a relaxed La2ZnH6Ru crystal, with properties calculated at the PBE-GGA level.

- DFT total energy (eV per cell) = -89.68
- crystal system = trigonal
- mass density (g/cm3) = 5.50

a = 14.151 Å, b = 14.151 Å, c = 14.151 Å
α = 19.34°, β = 19.34°, γ = 19.34°
Atoms (fractional coordinates):
La1 0.129 0.129 0.129
La2 0.296 0.296 0.296
La3 0.704 0.704 0.704
La4 0.871 0.871 0.871
Zn1 0.418 0.418 0.418
Zn2 0.582 0.582 0.582
H1 0.128 0.652 0.652
H2 0.196 0.196 0.677
H3 0.196 0.677 0.196
H4 0.323 0.804 0.804
H5 0.348 0.348 0.872
H6 0.348 0.872 0.348
H7 0.652 0.128 0.652
H8 0.652 0.652 0.128
H9 0.677 0.196 0.196
H10 0.804 0.323 0.804
H11 0.804 0.804 0.323
H12 0.872 0.348 0.348
Ru1 0.000 0.000 0.000
Ru2 0.500 0.500 0.500


Entry 3:
Below is a relaxed CeH8Pd4Pt crystal, with properties calculated at the PBE-GGA level.

- DFT total energy (eV per cell) = -61.84
- crystal system = trigonal
- mass density (g/cm3) = 9.10

a = 5.860 Å, b = 5.860 Å, c = 5.860 Å
α = 59.40°, β = 59.40°, γ = 59.40°
Atoms (fractional coordinates):
Ce1 0.000 0.000 0.000
H1 0.146 0.606 0.606
H2 0.156 0.156 0.156
H3 0.165 0.165 0.521
H4 0.165 0.521 0.165
H5 0.521 0.165 0.165
H6 0.606 0.146 0.606
H7 0.606 0.606 0.146
H8 0.613 0.613 0.613
Pd1 0.376 0.376 0.867
Pd2 0.376 0.867 0.376
Pd3 0.746 0.746 0.746
Pd4 0.867 0.376 0.376
Pt1 0.376 0.376 0.376


Entry 4:
Below is a relaxed BaMgIn6 crystal, with properties calculated at the PBE-GGA level.

- DFT total energy (eV per cell) = -21.33
- crystal system = trigonal
- formation enthalpy at 0 K (eV/atom) = -0.173
- mass density (g/cm3) = 6.04

a = 10.193 Å, b = 10.193 Å, c = 10.193 Å
α = 29.94°, β = 29.94°, γ = 29.94°
Atoms (fractional coordinates):
Ba1 0.000 0.000 0.000
Mg1 0.500 0.500 0.500
In1 0.133 0.133 0.133
In2 0.243 0.243 0.243
In3 0.400 0.400 0.400
In4 0.600 0.600 0.600
In5 0.757 0.757 0.757
In6 0.867 0.867 0.867


Entry 5:
Below is a relaxed RbSc2NiHg crystal, with properties calculated at the PBE-GGA level.

- DFT total energy (eV per cell) = -12.32
- crystal system = tetragonal
- formation enthalpy at 0 K (eV/atom) = 1.478
- mass density (g/cm3) = 6.03

a = 5.118 Å, b = 5.118 Å, c = 4.567 Å
α = 90.00°, β = 90.00°, γ = 90.00°
Atoms (fractional coordinates):
Rb1 0.000 0.000 0.000
Sc1 0.000 0.500 0.000
Sc2 0.500 0.000 0.000
Ni1 0.000 0.000 0.500
Hg1 0.500 0.500 0.500


Entry 6:
Below is a relaxed Mn2NbNi crystal, with properties calculated at the PBE-GGA level.

- DFT total energy (eV per cell) = -34.28
- crystal system = cubic
- formation enthalpy at 0 K (eV/atom) = -0.023
- mass density (g/cm3) = 8.10

a = 4.232 Å, b = 4.232 Å, c = 4.232 Å
α = 60.00°, β = 60.00°, γ = 60.00°
Atoms (fractional coordinates):
Mn1 0.250 0.250 0.250
Mn2 0.750 0.750 0.750
Nb1 0.000 0.000 0.000
Ni1 0.500 0.500 0.500


Entry 7:
Below is a relaxed SrZn2Br crystal, with properties calculated at the PBE-GGA level.

- DFT total energy (eV per cell) = -8.19
- crystal system = monoclinic
- formation energy (no corrections) (meV per atom) = -573
- mass density (g/cm3) = 3.91

a = 3.872 Å, b = 3.869 Å, c = 8.529 Å
α = 90.00°, β = 97.49°, γ = 90.00°
Atoms (fractional coordinates):
Sr1 0.000 0.000 0.000
Zn1 0.407 0.000 0.681
Zn2 0.907 0.500 0.681
Br1 0.552 0.500 0.180


Entry 8:
Below is a relaxed CsRb2O6 crystal, with properties calculated at the PBE-GGA level.

- DFT total energy (eV per cell) = -39.41
- crystal system = orthorhombic
- formation energy (no corrections) (meV per atom) = -764
- mass density (g/cm3) = 3.54

a = 7.105 Å, b = 7.105 Å, c = 7.105 Å
α = 144.91°, β = 111.40°, γ = 79.44°
Atoms (fractional coordinates):
Cs1 0.000 0.000 0.000
Rb1 0.316 0.816 0.500
Rb2 0.684 0.184 0.500
O1 0.130 0.390 0.740
O2 0.336 0.500 0.836
O3 0.351 0.610 0.740
O4 0.649 0.390 0.260
O5 0.664 0.500 0.164
O6 0.870 0.610 0.260


Entry 9:
Below is a relaxed LiIn5Pb crystal, with properties calculated at the PBE-GGA level.

- DFT total energy (eV per cell) = -39.13
- crystal system = monoclinic
- formation enthalpy at 0 K (eV/atom) = -0.036
- mass density (g/cm3) = 7.10

a = 8.381 Å, b = 8.381 Å, c = 5.992 Å
α = 109.17°, β = 109.17°, γ = 73.96°
Atoms (fractional coordinates):
Li1 0.000 0.500 0.000
Li2 0.500 0.000 0.500
In1 0.078 0.922 0.250
In2 0.128 0.629 0.628
In3 0.246 0.250 0.747
In4 0.250 0.246 0.247
In5 0.371 0.872 0.872
In6 0.629 0.128 0.128
In7 0.750 0.754 0.753
In8 0.754 0.750 0.253
In9 0.872 0.371 0.372
In10 0.922 0.078 0.750
Pb1 0.405 0.595 0.250
Pb2 0.595 0.405 0.750


Entry 10:
Below is a relaxed CuRe2Os crystal, with properties calculated at the PBE-GGA level.

- DFT total energy (eV per cell) = -39.36
- crystal system = trigonal
- formation enthalpy at 0 K (eV/atom) = 0.215
- mass density (g/cm3) = 18.09

a = 9.021 Å, b = 9.021 Å, c = 9.021 Å
α = 17.43°, β = 17.43°, γ = 17.43°
Atoms (fractional coordinates):
Cu1 0.000 0.000 0.000
Re1 0.250 0.250 0.250
Re2 0.750 0.750 0.750
Os1 0.500 0.500 0.500


Entry 11:
Below is a relaxed CsTmHSe2 crystal, with properties calculated at the PBE-GGA level.

- DFT total energy (eV per cell) = -41.09
- crystal system = monoclinic
- mass density (g/cm3) = 5.77

a = 8.856 Å, b = 4.245 Å, c = 7.369 Å
α = 90.00°, β = 106.77°, γ = 90.00°
Atoms (fractional coordinates):
Cs1 0.000 0.215 0.250
Cs2 0.000 0.785 0.750
Tm1 0.500 0.234 0.750
Tm2 0.500 0.766 0.250
H1 0.500 0.000 0.000
H2 0.500 0.000 0.500
Se1 0.307 0.288 0.030
Se2 0.307 0.712 0.530
Se3 0.693 0.288 0.470
Se4 0.693 0.712 0.970


Entry 12:
Below is a relaxed CaHf2Au2 crystal, with properties calculated at the PBE-GGA level.

- DFT total energy (eV per cell) = -60.07
- crystal system = tetragonal
- formation enthalpy at 0 K (eV/atom) = -0.315
- mass density (g/cm3) = 11.94

a = 8.005 Å, b = 8.005 Å, c = 3.433 Å
α = 90.00°, β = 90.00°, γ = 90.00°
Atoms (fractional coordinates):
Ca1 0.000 0.000 0.000
Ca2 0.500 0.500 0.000
Hf1 0.164 0.336 0.500
Hf2 0.336 0.836 0.500
Hf3 0.664 0.164 0.500
Hf4 0.836 0.664 0.500
Au1 0.130 0.630 0.000
Au2 0.370 0.130 0.000
Au3 0.630 0.870 0.000
Au4 0.870 0.370 0.000


Entry 13:
Below is a relaxed AcPuInPd crystal, with properties calculated at the PBE-GGA level.

- DFT total energy (eV per cell) = -27.42
- crystal system = cubic
- formation enthalpy at 0 K (eV/atom) = -0.263
- mass density (g/cm3) = 10.23

a = 5.417 Å, b = 5.417 Å, c = 5.417 Å
α = 60.00°, β = 60.00°, γ = 60.00°
Atoms (fractional coordinates):
Ac1 0.000 0.000 0.000
Pu1 0.500 0.500 0.500
In1 0.750 0.750 0.750
Pd1 0.250 0.250 0.250


Entry 14:
Below is a relaxed LaHf3Au crystal, with properties calculated at the PBE-GGA level.

- DFT total energy (eV per cell) = -35.64
- crystal system = cubic
- formation enthalpy at 0 K (eV/atom) = 0.485
- mass density (g/cm3) = 10.19

a = 5.216 Å, b = 5.216 Å, c = 5.216 Å
α = 90.00°, β = 90.00°, γ = 90.00°
Atoms (fractional coordinates):
La1 0.000 0.000 0.000
Hf1 0.000 0.500 0.500
Hf2 0.500 0.000 0.500
Hf3 0.500 0.500 0.000
Au1 0.500 0.500 0.500


Entry 15:
Below is a relaxed Bi3SeI crystal, with properties calculated at the PBE-GGA level.

- DFT total energy (eV per cell) = -11.00
- crystal system = cubic
- formation energy (no corrections) (meV per atom) = 1135
- mass density (g/cm3) = 6.68

a = 5.916 Å, b = 5.916 Å, c = 5.916 Å
α = 90.00°, β = 90.00°, γ = 90.00°
Atoms (fractional coordinates):
Bi1 0.000 0.000 0.500
Bi2 0.000 0.500 0.000
Bi3 0.500 0.000 0.000
Se1 0.500 0.500 0.500
I1 0.000 0.000 0.000


Entry 16:
Below is a relaxed Sr2FeW crystal, with properties calculated at the PBE-GGA level.

- DFT total energy (eV per cell) = -22.31
- crystal system = monoclinic
- formation enthalpy at 0 K (eV/atom) = 0.619
- mass density (g/cm3) = 6.44

a = 3.373 Å, b = 3.373 Å, c = 9.401 Å
α = 90.00°, β = 90.02°, γ = 90.00°
Atoms (fractional coordinates):
Sr1 0.000 0.000 0.000
Sr2 0.496 0.500 0.398
Fe1 0.000 0.000 0.663
W1 0.500 0.500 0.729


Entry 17:
Below is a relaxed Y5Cd2Rh2 crystal, with properties calculated at the PBE-GGA level.

- DFT total energy (eV per cell) = -107.15
- crystal system = orthorhombic
- formation enthalpy at 0 K (eV/atom) = -0.525
- mass density (g/cm3) = 6.29

a = 8.930 Å, b = 8.930 Å, c = 7.613 Å
α = 90.00°, β = 90.00°, γ = 49.53°
Atoms (fractional coordinates):
Y1 0.000 0.000 0.000
Y2 0.054 0.703 0.675
Y3 0.203 0.554 0.175
Y4 0.297 0.946 0.675
Y5 0.446 0.797 0.175
Y6 0.500 0.500 0.500
Y7 0.554 0.203 0.825
Y8 0.703 0.054 0.325
Y9 0.797 0.446 0.825
Y10 0.946 0.297 0.325
Cd1 0.218 0.218 0.000
Cd2 0.282 0.282 0.500
Cd3 0.718 0.718 0.500
Cd4 0.782 0.782 0.000
Rh1 0.129 0.871 0.369
Rh2 0.371 0.629 0.869
Rh3 0.629 0.371 0.131
Rh4 0.871 0.129 0.631


Entry 18:
Below is a relaxed Re2TeSe crystal, with properties calculated at the PBE-GGA level.

- DFT total energy (eV per cell) = -29.65
- crystal system = monoclinic
- formation energy (no corrections) (meV per atom) = 467
- mass density (g/cm3) = 10.13

a = 4.411 Å, b = 4.411 Å, c = 6.829 Å
α = 107.85°, β = 107.85°, γ = 49.38°
Atoms (fractional coordinates):
Re1 0.000 0.000 0.000
Re2 0.714 0.714 0.088
Te1 0.491 0.491 0.331
Se1 0.228 0.228 0.789


Entry 19:
Below is a relaxed AlOsF2 crystal, with properties calculated at the PBE-GGA level.

- DFT total energy (eV per cell) = -18.49
- crystal system = cubic
- formation energy (no corrections) (meV per atom) = 55
- mass density (g/cm3) = 8.10

a = 4.199 Å, b = 4.199 Å, c = 4.199 Å
α = 60.00°, β = 60.00°, γ = 60.00°
Atoms (fractional coordinates):
Al1 0.000 0.000 0.000
Os1 0.500 0.500 0.500
F1 0.250 0.250 0.250
F2 0.750 0.750 0.750


Entry 20:
Below is a relaxed UCuRuRh crystal, with properties calculated at the PBE-GGA level.

- DFT total energy (eV per cell) = -32.81
- crystal system = cubic
- formation enthalpy at 0 K (eV/atom) = -0.200
- mass density (g/cm3) = 12.86

a = 4.520 Å, b = 4.520 Å, c = 4.520 Å
α = 60.00°, β = 60.00°, γ = 60.00°
Atoms (fractional coordinates):
U1 0.000 0.000 0.000
Cu1 0.500 0.500 0.500
Ru1 0.750 0.750 0.750
Rh1 0.250 0.250 0.250


Entry 21:
Below is a relaxed Tb3Zn2Au crystal, with properties calculated at the PBE-GGA level.

- DFT total energy (eV per cell) = -22.83
- crystal system = tetragonal
- formation enthalpy at 0 K (eV/atom) = -0.519
- mass density (g/cm3) = 9.61

a = 3.601 Å, b = 3.601 Å, c = 10.717 Å
α = 90.00°, β = 90.00°, γ = 90.00°
Atoms (fractional coordinates):
Tb1 0.000 0.000 0.000
Tb2 0.000 0.000 0.331
Tb3 0.000 0.000 0.669
Zn1 0.500 0.500 0.161
Zn2 0.500 0.500 0.839
Au1 0.500 0.500 0.500


Entry 22:
Below is a relaxed Li2NpGeS4 crystal, with properties calculated at the PBE-GGA level.

- DFT total energy (eV per cell) = -46.14
- crystal system = monoclinic
- formation energy (no corrections) (meV per atom) = -1031
- mass density (g/cm3) = 4.71

a = 6.427 Å, b = 3.884 Å, c = 6.788 Å
α = 90.00°, β = 110.00°, γ = 90.00°
Atoms (fractional coordinates):
Li1 0.000 0.000 0.000
Li2 0.000 0.500 0.500
Np1 0.500 0.000 0.500
Ge1 0.500 0.500 0.000
S1 0.252 0.500 0.251
S2 0.256 0.000 0.744
S3 0.744 0.000 0.256
S4 0.748 0.500 0.749


Entry 23:
Below is a relaxed LaEr2Rh crystal, with properties calculated at the PBE-GGA level.

- DFT total energy (eV per cell) = -22.94
- crystal system = trigonal
- formation enthalpy at 0 K (eV/atom) = -0.385
- mass density (g/cm3) = 7.94

a = 9.336 Å, b = 9.336 Å, c = 9.336 Å
α = 24.24°, β = 24.24°, γ = 24.24°
Atoms (fractional coordinates):
La1 0.000 0.000 0.000
Er1 0.553 0.553 0.553
Er2 0.775 0.775 0.775
Rh1 0.164 0.164 0.164


Entry 24:
Below is a relaxed Pr2Al4Ir3Pd crystal, with properties calculated at the PBE-GGA level.

- DFT total energy (eV per cell) = -64.93
- crystal system = tetragonal
- formation enthalpy at 0 K (eV/atom) = -0.863
- mass density (g/cm3) = 9.37

a = 4.284 Å, b = 4.284 Å, c = 10.365 Å
α = 90.00°, β = 90.00°, γ = 90.00°
Atoms (fractional coordinates):
Pr1 0.000 0.500 0.248
Pr2 0.500 0.000 0.752
Al1 0.000 0.000 0.500
Al2 0.000 0.500 0.876
Al3 0.500 0.000 0.124
Al4 0.500 0.500 0.500
Ir1 0.000 0.000 0.000
Ir2 0.000 0.500 0.633
Ir3 0.500 0.000 0.367
Pd1 0.500 0.500 0.000


Entry 25:
Below is a relaxed Be2CdPd7 crystal, with properties calculated at the PBE-GGA level.

- DFT total energy (eV per cell) = -45.33
- crystal system = orthorhombic
- formation enthalpy at 0 K (eV/atom) = -0.061
- mass density (g/cm3) = 8.86

a = 6.520 Å, b = 6.520 Å, c = 4.197 Å
α = 90.00°, β = 90.00°, γ = 113.14°
Atoms (fractional coordinates):
Be1 0.212 0.788 0.000
Be2 0.788 0.212 0.000
Cd1 0.500 0.500 0.500
Pd1 0.000 0.000 0.000
Pd2 0.179 0.438 0.000
Pd3 0.180 0.820 0.500
Pd4 0.438 0.179 0.000
Pd5 0.562 0.821 0.000
Pd6 0.820 0.180 0.500
Pd7 0.821 0.562 0.000